Entry 1:
Computed, not measured: a relaxed structure of ZrBPd at the GGA-PBE level of DFT.

Summary:
DOS(E_F)	0.61	states/eV/atom
formation energy from the elements	-0.448	eV/atom
DFT total energy	-7.2543	eV/atom
space group	C2/m

Lattice parameters (Å, degrees): 4.646 4.646 6.347 99.91 99.91 43.30
Element x y z (fractional)
Zr (0.115, 0.115, 0.312)
Zr (0.885, 0.885, 0.688)
B (0.414, 0.414, 0.421)
B (0.586, 0.586, 0.579)
Pd (0.367, 0.367, 0.077)
Pd (0.633, 0.633, 0.923)

Entry 2:
Computed, not measured: a relaxed structure of HfH3S at the GGA-PBE level of DFT.

Summary:
DOS(E_F)	0.65	states/eV/atom
DFT total energy	-4.0875	eV/atom
offset from the most stable computed form	642	meV per atom
space group	Pm-3m

Lattice parameters (Å, degrees): 3.563 3.563 3.563 90.00 90.00 90.00
Element x y z (fractional)
Hf (0.000, 0.000, 0.000)
H (0.000, 0.500, 0.500)
H (0.500, 0.000, 0.500)
H (0.500, 0.500, 0.000)
S (0.500, 0.500, 0.500)